1.
The following is a PBEsol calculation of TlBiF4 after structural relaxation, from the Alexandria database.

Unit cell a=6.2409 b=3.6898 c=8.3829 alpha=90.00 beta=97.06 gamma=90.00
Last column: nearest neighbours and their distance in Å.
Space group P2_1/m (No. 11)
Unique sites:
Tl 0.2422 0.2500 0.0980 (multiplicity 2)  4 F 2.55-2.67
Bi 0.2618 0.2500 0.6106 (multiplicity 2)  9 F 2.28-2.49
F 0.1239 0.7500 0.4272 (multiplicity 2)  3 Bi 2.39-2.49
F 0.1519 0.7500 0.7531 (multiplicity 2)  2 Bi 2.35
F 0.4756 0.2500 0.8522 (multiplicity 2)  1 Bi 2.28, 2 Tl 2.55
F 0.4769 0.2500 0.3866 (multiplicity 2)  3 Bi 2.44-2.46, 3 F 2.64-2.72, 1 Tl 2.67

## Properties
Crystal system   monoclinic
Formation energy from raw total energies   -2.238 eV per atom

***

2.
The following is a PBEsol calculation of TlBiF4 after structural relaxation, from the Alexandria database.

Unit cell a=3.7708 b=8.0952 c=6.4509 alpha=90.00 beta=90.00 gamma=90.00
Last column: nearest neighbours and their distance in Å.
Space group Pmc2_1 (No. 26)
Unique sites:
Tl 0.0000 0.1294 0.0000 (multiplicity 2)  7 F 2.72-2.96
Bi 0.5000 0.3665 0.4877 (multiplicity 2)  7 F 2.17-2.43
F 0.0000 0.2283 0.5964 (multiplicity 2)  2 Bi 2.30
F 0.0000 0.4111 0.2568 (multiplicity 2)  2 Bi 2.43, 1 F 2.64
F 0.5000 0.1407 0.3064 (multiplicity 2)  1 Bi 2.17
F 0.5000 0.3569 0.8590 (multiplicity 2)  2 Bi 2.39-2.40

## Properties
Crystal system   orthorhombic
Formation energy from raw total energies   -2.195 eV per atom

***

3.
The following is a PBEsol calculation of ZnBiF2 after structural relaxation, from the Alexandria database.

Unit cell a=6.0111 b=6.0111 c=8.3138 alpha=90.00 beta=90.00 gamma=90.00
Last column: nearest neighbours and their distance in Å.
Space group I-42d (No. 122)
Unique sites:
Zn 0.0000 0.0000 0.0000 (multiplicity 4)  4 F 1.90
Bi 0.0000 0.0000 0.5000 (multiplicity 4)  4 F 3.08
F 0.0868 0.2500 0.1250 (multiplicity 8)  2 Zn 1.90

## Properties
Crystal system   tetragonal
Formation energy from raw total energies   -1.320 eV per atom

***

4.
The following is a PBEsol calculation of ZnBiF5 after structural relaxation, from the Alexandria database.

Unit cell a=4.8776 b=10.0443 c=8.0036 alpha=90.00 beta=95.27 gamma=90.00
Last column: nearest neighbours and their distance in Å.
Space group P2_1/c (No. 14)
Unique sites:
Zn 0.0551 0.0101 0.2052 (multiplicity 4)  6 F 1.95-2.09
Bi 0.4550 0.7454 0.0949 (multiplicity 4)  5 F 2.18-2.32
F 0.0435 0.6347 0.1207 (multiplicity 4)  1 Zn 1.97
F 0.1599 0.6016 0.4999 (multiplicity 4)  2 Zn 2.08-2.09, 1 Bi 2.19
F 0.2710 0.6527 0.8107 (multiplicity 4)  1 Zn 2.08, 1 Bi 2.26
F 0.2718 0.1016 0.7908 (multiplicity 4)  1 Zn 1.95, 1 Bi 2.18
F 0.3729 0.1349 0.1650 (multiplicity 4)  1 Zn 2.04

## Properties
Crystal system   monoclinic
Formation energy from raw total energies   -2.338 eV per atom

***

5.
The following is a PBEsol calculation of ZnBiF6 after structural relaxation, from the Alexandria database.

Unit cell a=5.5181 b=5.5181 c=14.3791 alpha=90.00 beta=90.00 gamma=120.00
Last column: nearest neighbours and their distance in Å.
Space group R-3 (No. 148, hexagonal axes)
Unique sites:
Zn 0.0000 0.0000 0.0000 (multiplicity 3)  6 F 1.99
Bi 0.0000 0.0000 0.5000 (multiplicity 3)  6 F 2.16
F 0.0148 0.4036 0.7466 (multiplicity 18)  1 Zn 1.99, 1 Bi 2.16

## Properties
Crystal system   trigonal
Formation energy from raw total energies   -2.149 eV per atom

***

6.
The following is a PBEsol calculation of Zr3BiF15 after structural relaxation, from the Alexandria database.

Unit cell a=10.5666 b=12.4226 c=8.1607 alpha=90.00 beta=106.29 gamma=90.00
Last column: nearest neighbours and their distance in Å.
Space group C2/c (No. 15)
Unique sites:
Zr 0.0000 0.2432 0.2500 (multiplicity 4)  6 F 1.99-2.05
Zr 0.2090 0.4694 0.8258 (multiplicity 8)  7 F 2.02-2.20
Bi 0.0000 0.1786 0.7500 (multiplicity 4)  8 F 2.30-2.35
F 0.0000 0.4675 0.7500 (multiplicity 4)  2 Zr 2.12
F 0.0240 0.2585 0.4994 (multiplicity 8)  1 Zr 1.99
F 0.1324 0.0659 0.6444 (multiplicity 8)  1 Zr 2.02
F 0.1377 0.3634 0.2823 (multiplicity 8)  2 Zr 2.05-2.20
F 0.1399 0.1301 0.2773 (multiplicity 8)  1 Zr 2.01
F 0.1521 0.0987 0.9745 (multiplicity 8)  1 Zr 2.05
F 0.1573 0.3120 0.8166 (multiplicity 8)  1 Zr 2.03
F 0.1646 0.4850 0.5565 (multiplicity 8)  2 Zr 2.12-2.14

## Properties
Crystal system   monoclinic
Formation energy from raw total energies   -3.482 eV per atom

***

7.
The following is a PBEsol calculation of Ga3FeBi after structural relaxation, from the Alexandria database.

Unit cell a=4.6314 b=4.6314 c=4.6314 alpha=90.00 beta=90.00 gamma=90.00
Last column: nearest neighbours and their distance in Å.
Space group Pm-3m (No. 221)
Unique sites:
Ga 0.0000 0.0000 0.5000 (multiplicity 3)  2 Fe 2.32
Fe 0.0000 0.0000 0.0000 (multiplicity 1)  6 Ga 2.32
Bi 0.5000 0.5000 0.5000 (multiplicity 1)  12 Ga 3.27

## Properties
Crystal system   cubic
DFT formation energy   84 kJ/mol of formula units

***

8.
The following is a PBEsol calculation of GaFeBi2O6 after structural relaxation, from the Alexandria database.

Unit cell a=3.7067 b=5.9655 c=6.1289 alpha=75.31 beta=88.52 gamma=88.75
Last column: nearest neighbours and their distance in Å.
Space group P1 (No. 1)
Unique sites:
Ga 0.0000 0.0000 0.0000 (multiplicity 1)  5 O 1.83-1.98
Fe 0.9976 0.4938 0.4971 (multiplicity 1)  5 O 1.81-2.01
Bi 0.4609 0.4874 0.9494 (multiplicity 1)  5 O 2.23-2.42
Bi 0.4672 0.9770 0.4524 (multiplicity 1)  5 O 2.25-2.48
O 0.9996 0.3197 0.8226 (multiplicity 1)  1 Ga 1.94, 1 Fe 2.00
O 0.0211 0.2948 0.3180 (multiplicity 1)  1 Fe 1.81
O 0.0227 0.7965 0.8205 (multiplicity 1)  1 Ga 1.83
O 0.4959 0.5733 0.5732 (multiplicity 1)  2 Fe 1.98-2.01
O 0.4978 0.0681 0.0713 (multiplicity 1)  2 Ga 1.96-1.98
O 0.9990 0.8223 0.3184 (multiplicity 1)  1 Ga 1.97, 1 Fe 1.99

## Properties
Crystal system   triclinic
Formation energy from raw total energies   -1.383 eV per atom